CePuCdCu | GGA-PBE | relaxed

POSCAR file:
```
CePuCdCu
1.0
0.0000 3.5164 3.5164
3.5164 0.0000 3.5164
3.5164 3.5164 0.0000
Ce Pu Cd Cu
1 1 1 1
direct
0.0000 0.0000 0.0000
0.7500 0.7500 0.7500
0.5000 0.5000 0.5000
0.2500 0.2500 0.2500
```

Output
Space group = F-43m (216)
Size of the total moment = 6.98 μB per cell
Raw total energy = -6.329 eV per atom

BaFeP2 | GGA-PBE | relaxed

POSCAR file:
```
BaFeP2
1.0
1.9587 1.1308 5.7769
-1.9587 1.1308 5.7769
0.0000 -2.2617 5.7769
Ba Fe P
1 1 2
direct
0.0000 0.0000 0.0000
0.5000 0.5000 0.5000
0.2021 0.2021 0.2021
0.7979 0.7979 0.7979
```

Output
Space group = R-3m (166)
Size of the total moment = 0.44 μB per cell
Raw total energy = -5.833 eV per atom
Excess energy over the best structure of this formula in the dataset = 35 meV/atom

Li2TcPb | GGA-PBE | relaxed

POSCAR file:
```
Li2TcPb
1.0
0.0000 3.2334 3.2334
3.2334 0.0000 3.2334
3.2334 3.2334 0.0000
Li Tc Pb
2 1 1
direct
0.0000 0.0000 0.0000
0.2500 0.2500 0.2500
0.5000 0.5000 0.5000
0.7500 0.7500 0.7500
```

Output
Space group = F-43m (216)
Size of the total moment = 0.22 μB per cell
Raw total energy = -4.224 eV per atom

SrScBiCl2 | GGA-PBE | relaxed

POSCAR file:
```
SrScBiCl2
1.0
5.5697 0.0000 0.0000
0.0000 5.5697 0.0000
0.0000 0.0000 6.7552
Sr Sc Bi Cl
1 1 1 2
direct
0.0000 0.0000 0.0000
0.5000 0.5000 0.0000
0.0000 0.0000 0.5000
0.0000 0.5000 0.5000
0.5000 0.0000 0.5000
```

Output
Space group = P4/mmm (123)
Formation energy from raw total energies = -0.01 eV/atom
Size of the total moment = 1.74 μB per cell
Raw total energy = -3.124 eV per atom

NaCeAgI6 | GGA-PBE | relaxed

POSCAR file:
```
NaCeAgI6
1.0
7.6565 0.0000 0.0000
-3.8283 6.6308 0.0000
0.0000 0.0000 14.6071
Na Ce Ag I
2 2 2 12
direct
0.0000 0.0000 0.0000
0.0000 0.0000 0.5000
0.3333 0.6667 0.2500
0.6667 0.3333 0.7500
0.3333 0.6667 0.7500
0.6667 0.3333 0.2500
0.0030 0.3504 0.1287
0.0030 0.6526 0.3713
0.3474 0.3504 0.3713
0.3474 0.9970 0.1287
0.3504 0.0030 0.6287
0.3504 0.3474 0.8713
0.6496 0.6526 0.1287
0.6496 0.9970 0.3713
0.6526 0.0030 0.8713
0.6526 0.6496 0.6287
0.9970 0.3474 0.6287
0.9970 0.6496 0.8713
```

Output
Space group = P-31c (163)
Formation energy from raw total energies = -0.94 eV/atom
Size of the total moment = 0.00 μB per cell
Raw total energy = -3.094 eV per atom

Ba2YH4 | GGA-PBE | relaxed

POSCAR file:
```
Ba2YH4
1.0
-2.1528 2.1528 7.4040
2.1528 -2.1528 7.4040
2.1528 2.1528 -7.4040
Ba Y H
2 1 4
direct
0.1565 0.1565 0.0000
0.8435 0.8435 0.0000
0.5000 0.5000 0.0000
0.0000 0.5000 0.5000
0.3464 0.3464 0.0000
0.5000 0.0000 0.5000
0.6536 0.6536 0.0000
```

Output
Space group = I4/mmm (139)
Size of the total moment = 0.80 μB per cell
Raw total energy = -3.721 eV per atom

ReTcSe | GGA-PBE | relaxed

POSCAR file:
```
ReTcSe
1.0
4.2324 0.0000 0.0000
-2.1162 3.6653 0.0000
0.0000 0.0000 2.9437
Re Tc Se
1 1 1
direct
0.0000 0.0000 0.0000
0.3333 0.6667 0.4929
0.6667 0.3333 0.2073
```

Output
Space group = P3m1 (156)
Formation energy from raw total energies = 0.38 eV/atom
Size of the total moment = 0.00 μB per cell
Raw total energy = -8.383 eV per atom
Excess energy over the best structure of this formula in the dataset = 204 meV/atom

Zr2ReTc3 | GGA-PBE | relaxed

POSCAR file:
```
Zr2ReTc3
1.0
4.5075 -2.6634 0.0000
4.5075 2.6634 0.0000
-2.9575 0.0000 4.3422
Zr Re Tc
2 1 3
direct
0.1257 0.1257 0.3742
0.8743 0.8743 0.6258
0.5000 0.5000 0.0000
0.0000 0.5000 0.0000
0.5000 0.0000 0.0000
0.5000 0.5000 0.5000
```

Output
Space group = C2/m (12)
Size of the total moment = 0.00 μB per cell
Raw total energy = -10.406 eV per atom

PmHg3Pd | GGA-PBE | relaxed

POSCAR file:
```
PmHg3Pd
1.0
-2.7776 2.7776 9.3042
2.7776 -2.7776 9.3042
2.7776 2.7776 -9.3042
Pm Hg Pd
2 6 2
direct
0.1881 0.1881 0.0000
0.8119 0.8119 0.0000
0.3751 0.1282 0.7532
0.3751 0.6219 0.2468
0.3781 0.6249 0.7532
0.5585 0.0585 0.5000
0.8718 0.6249 0.2468
0.9415 0.4415 0.5000
0.2500 0.7500 0.5000
0.5000 0.5000 0.0000
```

Output
Space group = I-4m2 (119)
Size of the total moment = 0.00 μB per cell
Raw total energy = -2.259 eV per atom

TcRu2Pt | GGA-PBE | relaxed

POSCAR file:
```
TcRu2Pt
1.0
0.0000 3.1035 3.1035
3.1035 0.0000 3.1035
3.1035 3.1035 0.0000
Tc Ru Pt
1 2 1
direct
0.0000 0.0000 0.0000
0.2500 0.2500 0.2500
0.5000 0.5000 0.5000
0.7500 0.7500 0.7500
```

Output
Space group = F-43m (216)
Size of the total moment = 1.09 μB per cell
Raw total energy = -8.304 eV per atom
Excess energy over the best structure of this formula in the dataset = 511 meV/atom

K2SnSeO | GGA-PBE | relaxed

POSCAR file:
```
K2SnSeO
1.0
6.8081 0.0000 0.0000
0.0000 6.8081 0.0000
0.0000 0.0000 5.1903
K Sn Se O
2 1 1 1
direct
0.0000 0.5000 0.0000
0.5000 0.0000 0.0000
0.0000 0.0000 0.0000
0.0000 0.0000 0.5000
0.5000 0.5000 0.5000
```

Output
Space group = P4/mmm (123)
Formation energy from raw total energies = 0.20 eV/atom
Size of the total moment = 0.00 μB per cell
Raw total energy = -2.728 eV per atom
Excess energy over the best structure of this formula in the dataset = 1307 meV/atom

Cs3TmSc2Te6 | GGA-PBE | relaxed

POSCAR file:
```
Cs3TmSc2Te6
1.0
3.8268 -6.6279 0.0000
3.8268 6.6279 0.0000
-2.5529 0.0000 8.8589
Cs Tm Sc Te
3 1 2 6
direct
0.0000 0.0000 0.0000
0.3360 0.6640 0.0000
0.6640 0.3360 0.0000
0.5000 0.5000 0.5000
0.1669 0.8331 0.5000
0.8331 0.1669 0.5000
0.0972 0.4389 0.3169
0.2189 0.2189 0.6820
0.4389 0.0972 0.3169
0.5611 0.9028 0.6831
0.7811 0.7811 0.3180
0.9028 0.5611 0.6831
```

Output
Space group = C2/m (12)
Formation energy from raw total energies = -1.27 eV/atom
Size of the total moment = 0.00 μB per cell
Raw total energy = -4.485 eV per atom

Among the records above, which one has the highest raw total energy?
PmHg3Pd